CsLiTe3, optimized geometry, DFT PBE; uncorrected energy = -1.817 eV per atom; ΔE to the lowest computed polymorph = 936 meV/atom; ΔE_f (raw) = 0.621 eV per atom; total moment = 0.00 μB per formula unit
1.0
-1.438 -5.523 -2.990
3.331 -3.271 4.439
-5.324 -0.555 3.586
Te Cs Li
3 1 1
Direct
0.500 0.000 0.000 Te
0.000 0.000 0.500 Te
0.000 0.500 0.000 Te
0.000 0.000 0.000 Cs
0.500 0.500 0.500 Li